No. 1
The following is a DFT calculation (PBEsol) of crystalline SrAsCl4 at its relaxed geometry.

```
data_SrAsCl4
_chemical_formula_sum 'Sr1 As1 Cl4'
_cell_length_a 5.905
_cell_length_b 5.905
_cell_length_c 5.905
_cell_angle_alpha 60.00
_cell_angle_beta 60.00
_cell_angle_gamma 60.00
_symmetry_space_group_name_H-M 'P 1'
_symmetry_Int_Tables_number 1
loop_
_symmetry_equiv_pos_as_xyz
'x,y,z'
loop_
_atom_site_label
_atom_site_type_symbol
_atom_site_fract_x
_atom_site_fract_y
_atom_site_fract_z
_atom_site_occupancy
Cl1 Cl 0.375 0.375 0.375 1
Cl2 Cl 0.375 0.874 0.375 1
Cl3 Cl 0.874 0.375 0.375 1
Cl4 Cl 0.375 0.375 0.874 1
Sr1 Sr 0.750 0.750 0.750 1
As1 As 0.000 0.000 0.000 1
```

Values from the calculation:
Raw total energy in eV/atom: -2.720
E_form (uncorrected) in eV/f.u.: -1.339

***

No. 2
The following is a DFT calculation (PBEsol) of crystalline Ta2AsCl at its relaxed geometry.

```
data_Ta2AsCl
_chemical_formula_sum 'Ta2 As1 Cl1'
_cell_length_a 3.135
_cell_length_b 3.475
_cell_length_c 7.936
_cell_angle_alpha 102.36
_cell_angle_beta 90.00
_cell_angle_gamma 90.00
_symmetry_space_group_name_H-M 'P 1'
_symmetry_Int_Tables_number 1
loop_
_symmetry_equiv_pos_as_xyz
'x,y,z'
loop_
_atom_site_label
_atom_site_type_symbol
_atom_site_fract_x
_atom_site_fract_y
_atom_site_fract_z
_atom_site_occupancy
Cl1 Cl 0.500 0.088 0.794 1
Ta1 Ta 0.500 0.815 0.259 1
Ta2 Ta 0.000 0.209 0.041 1
As1 As 0.000 0.387 0.405 1
```

Values from the calculation:
Raw total energy in eV/atom: -8.466
E_form (uncorrected) in eV/f.u.: -1.646

***

No. 3
The following is a DFT calculation (PBEsol) of crystalline TcAs2Cl at its relaxed geometry.

```
data_TcAs2Cl
_chemical_formula_sum 'Tc1 As2 Cl1'
_cell_length_a 4.103
_cell_length_b 4.103
_cell_length_c 4.752
_cell_angle_alpha 115.58
_cell_angle_beta 115.58
_cell_angle_gamma 90.00
_symmetry_space_group_name_H-M 'P 1'
_symmetry_Int_Tables_number 1
loop_
_symmetry_equiv_pos_as_xyz
'x,y,z'
loop_
_atom_site_label
_atom_site_type_symbol
_atom_site_fract_x
_atom_site_fract_y
_atom_site_fract_z
_atom_site_occupancy
Tc1 Tc 0.000 0.000 0.000 1
As1 As 0.250 0.750 0.500 1
As2 As 0.750 0.250 0.500 1
Cl1 Cl 0.500 0.500 0.000 1
```

Values from the calculation:
Raw total energy in eV/atom: -5.417
E_form (uncorrected) in eV/f.u.: 1.819
Energy relative to the lowest polymorph listed for this composition in meV per atom: 569

***

No. 4
The following is a DFT calculation (PBEsol) of crystalline TcAs2Cl at its relaxed geometry.

```
data_TcAs2Cl
_chemical_formula_sum 'Tc1 As2 Cl1'
_cell_length_a 3.133
_cell_length_b 4.885
_cell_length_c 4.885
_cell_angle_alpha 118.76
_cell_angle_beta 90.00
_cell_angle_gamma 90.00
_symmetry_space_group_name_H-M 'P 1'
_symmetry_Int_Tables_number 1
loop_
_symmetry_equiv_pos_as_xyz
'x,y,z'
loop_
_atom_site_label
_atom_site_type_symbol
_atom_site_fract_x
_atom_site_fract_y
_atom_site_fract_z
_atom_site_occupancy
Cl1 Cl 0.500 0.000 0.000 1
Tc1 Tc 0.500 0.500 0.500 1
As1 As 0.000 0.000 0.500 1
As2 As 0.000 0.500 0.000 1
```

Values from the calculation:
Raw total energy in eV/atom: -5.358
E_form (uncorrected) in eV/f.u.: 2.057
Energy relative to the lowest polymorph listed for this composition in meV per atom: 629